Here is an optimized crystal structure of LiCaEuPt from the Alexandria database. Energies are from PBE-GGA.

```
LiCaEuPt
1.0
-3.792 2.915 -1.832
-4.642 -0.183 2.157
-1.716 3.982 2.727
Eu Ca Pt Li
1 1 1 1
Cartesian
0.000 0.000 0.000 Eu
-5.075 3.357 1.526 Ca
-7.612 5.035 2.289 Pt
-2.537 1.678 0.763 Li
```

## Properties
Space group: F-43m (216)
Raw total energy in eV per cell: -22.3
Theoretical density in Mg/m³: 6.9
Total magnetic moment in μB/cell: 7.272

Here is an optimized crystal structure of LiCaEuRu from the Alexandria database. Energies are from PBE-GGA.

```
LiCaEuRu
1.0
5.061 0.000 0.000
2.531 4.383 0.000
2.531 1.461 4.133
Eu Ru Ca Li
1 1 1 1
Cartesian
5.061 2.922 2.066 Eu
7.592 4.383 3.099 Ru
0.000 0.000 0.000 Ca
2.531 1.461 1.033 Li
```

## Properties
Space group: F-43m (216)
Raw total energy in eV per cell: -22.9
Theoretical density in Mg/m³: 5.4
Total magnetic moment in μB/cell: 6.942

Here is an optimized crystal structure of LiCaSmEu from the Alexandria database. Energies are from PBE-GGA.

```
LiCaSmEu
1.0
-0.961 -3.981 4.095
-2.398 -5.081 -1.406
3.179 -4.839 0.137
Eu Ca Sm Li
1 1 1 1
Cartesian
-0.045 -3.475 0.706 Eu
0.000 0.000 0.000 Ca
-0.090 -6.950 1.413 Sm
-0.136 -10.426 2.119 Li
```

## Properties
Space group: F-43m (216)
Raw total energy in eV per cell: -18.1
Theoretical density in Mg/m³: 4.2
Total magnetic moment in μB/cell: 7.573

Here is an optimized crystal structure of LiCaTbEu from the Alexandria database. Energies are from PBE-GGA.

```
LiCaTbEu
1.0
5.761 0.000 0.000
2.881 4.989 0.000
2.881 1.663 4.704
Eu Ca Tb Li
1 1 1 1
Cartesian
5.761 3.326 2.352 Eu
2.881 1.663 1.176 Ca
8.642 4.989 3.528 Tb
0.000 0.000 0.000 Li
```

## Properties
Space group: F-43m (216)
Raw total energy in eV per cell: -18.0
Theoretical density in Mg/m³: 4.4
Total magnetic moment in μB/cell: 7.651